A plane-wave DFT calculation with PBE was carried out for crystalline LiTmPb4 at its relaxed geometry.

Calculated values
* energy of formation from the pure elements: -0.160 eV/atom
* calculated total energy: -3.6961 eV/atom
* size of the total moment: 0.00 Bohr magnetons per cell
* symmetry: P2/m, No. 10

Structure (extended XYZ):
```
6
Lattice="-1.086 0.105 4.336 3.085 -1.578 0.811 4.548 9.385 0.911" Properties=species:S:1:pos:R:3 pbc="T T T"
Li 3.274 3.956 3.029
Tm 0.000 0.000 0.000
Pb 2.988 6.162 0.599
Pb 4.798 7.101 3.335
Pb 1.749 0.812 2.724
Pb 4.645 1.645 1.123
```